No. 1
DFT (PBE-GGA) results for an optimized crystal structure of LuSbRh2.

POSCAR file:
```
LuSbRh2
1.0
3.707 0.000 0.000
0.000 4.409 0.000
0.000 0.000 4.409
Lu Sb Rh
1 1 2
Direct
0.500 0.500 0.500
0.500 0.000 0.000
0.000 0.500 0.000
0.000 0.000 0.500
```

## Properties
**Space group**: P4/mmm
**Polymorph energy (0 for the lowest one)**: 11 meV per atom
**Raw formation energy**: -0.766 eV/atom

---

No. 2
DFT (PBE-GGA) results for an optimized crystal structure of MnCdAu3.

POSCAR file:
```
MnCdAu3
1.0
5.068 0.000 0.000
0.000 7.658 -2.424
0.000 0.059 9.399
Au Mn Cd
12 4 4
Direct
0.106 0.084 0.269
0.152 0.702 0.170
0.348 0.702 0.670
0.764 0.729 0.935
0.736 0.729 0.435
0.394 0.084 0.769
0.606 0.916 0.231
0.236 0.271 0.065
0.894 0.916 0.731
0.264 0.271 0.565
0.652 0.298 0.330
0.848 0.298 0.830
0.244 0.898 0.471
0.744 0.102 0.029
0.256 0.898 0.971
0.756 0.102 0.529
0.313 0.496 0.870
0.187 0.496 0.370
0.813 0.504 0.630
0.687 0.504 0.130
```

## Properties
**Space group**: P2_1/c
**Polymorph energy (0 for the lowest one)**: 0 meV per atom
**Energy relative to the elements**: -50.0 meV per atom

---

No. 3
DFT (PBE-GGA) results for an optimized crystal structure of La5Sm4Er.

POSCAR file:
```
La5Sm4Er
1.0
-1.740 -0.954 3.795
2.341 -3.582 0.172
14.047 9.606 8.854
La Sm Er
5 4 1
Direct
0.500 0.500 0.500
0.500 0.500 0.699
0.500 0.500 0.301
0.500 0.500 0.097
0.500 0.500 0.903
0.000 0.000 0.400
0.000 0.000 0.600
0.000 0.000 0.800
0.000 0.000 0.200
0.000 0.000 0.000
```

## Properties
**Space group**: P4/mmm
**Polymorph energy (0 for the lowest one)**: 55 meV per atom
**Energy relative to the elements**: 91.0 meV per atom

---

No. 4
DFT (PBE-GGA) results for an optimized crystal structure of Ac2Sm8Er3.

POSCAR file:
```
Ac2Sm8Er3
1.0
6.114 0.307 1.343
1.974 8.583 1.506
0.825 -0.719 8.868
Ac Sm Er
2 8 3
Direct
0.344 0.300 0.300
0.656 0.700 0.700
0.666 0.587 0.089
0.334 0.911 0.413
0.945 0.144 0.144
0.763 0.425 0.425
0.334 0.413 0.911
0.666 0.089 0.587
0.055 0.856 0.856
0.237 0.575 0.575
0.000 0.255 0.745
0.500 0.000 0.000
0.000 0.745 0.255
```

## Properties
**Space group**: C2/m
**Energy relative to the elements**: 197.9 meV per atom

---

No. 5
DFT (PBE-GGA) results for an optimized crystal structure of Ac3LaPt.

POSCAR file:
```
Ac3LaPt
1.0
-4.161 3.144 -2.938
-3.774 -0.703 4.592
2.067 5.045 2.471
Ac La Pt
3 1 1
Direct
0.000 0.500 0.000
0.500 0.000 0.000
0.000 0.000 0.500
0.500 0.500 0.500
0.000 0.000 0.000
```

## Properties
**Space group**: Pm-3m
**Energy relative to the elements**: -328.6 meV per atom

---

No. 6
DFT (PBE-GGA) results for an optimized crystal structure of Tl2SnHg2Pb2.

POSCAR file:
```
Tl2SnHg2Pb2
1.0
-0.953 -2.216 4.530
3.846 -1.711 -2.935
6.132 6.291 4.368
Tl Hg Pb Sn
2 2 2 1
Direct
0.667 0.333 0.572
0.333 0.667 0.428
0.667 0.333 0.122
0.333 0.667 0.878
0.000 0.000 0.315
0.000 0.000 0.685
0.000 0.000 0.000
```

## Properties
**Space group**: P-3m1
**Energy relative to the elements**: 123.3 meV per atom

---

No. 7
DFT (PBE-GGA) results for an optimized crystal structure of Cs2BaCeI8.

POSCAR file:
```
Cs2BaCeI8
1.0
8.117 -0.266 -0.005
-0.255 8.622 -0.007
0.004 0.017 10.337
I Ce Cs Ba
8 1 2 1
Direct
0.328 0.180 0.001
0.882 0.212 0.785
0.672 0.820 0.999
0.350 0.227 0.500
0.118 0.788 0.215
0.650 0.773 0.500
0.119 0.789 0.785
0.881 0.211 0.215
0.000 0.000 0.000
0.500 0.499 0.756
0.500 0.501 0.244
0.000 0.000 0.500
```

## Properties
**Space group**: P-1
**Raw formation energy**: -1.406 eV/atom

---

No. 8
DFT (PBE-GGA) results for an optimized crystal structure of Ba2BC.

POSCAR file:
```
Ba2BC
1.0
0.000 3.656 3.656
3.656 0.000 3.656
3.656 3.656 0.000
B Ba C
1 2 1
Direct
0.000 0.000 0.000
0.750 0.750 0.750
0.250 0.250 0.250
0.500 0.500 0.500
```

## Properties
**Space group**: Fm-3m
**Energy relative to the elements**: 1301.9 meV per atom

---

What did the third record say?
DFT (PBE-GGA) results for an optimized crystal structure of La5Sm4Er.

POSCAR file:
```
La5Sm4Er
1.0
-1.740 -0.954 3.795
2.341 -3.582 0.172
14.047 9.606 8.854
La Sm Er
5 4 1
Direct
0.500 0.500 0.500
0.500 0.500 0.699
0.500 0.500 0.301
0.500 0.500 0.097
0.500 0.500 0.903
0.000 0.000 0.400
0.000 0.000 0.600
0.000 0.000 0.800
0.000 0.000 0.200
0.000 0.000 0.000
```

## Properties
**Space group**: P4/mmm
**Polymorph energy (0 for the lowest one)**: 55 meV per atom
**Energy relative to the elements**: 91.0 meV per atom